[1]
DFT (PBE) results for a geometry-optimized LiEuSnRu structure.

Output
The formation energy is -0.19 eV/atom. The value obtained for the density of states at the Fermi level is 1.066 states/eV per atom.

Unit cell a=4.8102 b=4.8102 c=4.8102 alpha=60.00 beta=60.00 gamma=60.00
Last column: nearest neighbours and their distance in Å.
Fractional coordinates of all 4 atoms:
Li (0.0000, 0.0000, 0.0000)  4 Sn 2.95, 4 Eu 2.95
Eu (0.2500, 0.2500, 0.2500)  4 Li 2.95, 4 Ru 2.95
Sn (0.7500, 0.7500, 0.7500)  4 Li 2.95, 4 Ru 2.95
Ru (0.5000, 0.5000, 0.5000)  4 Sn 2.95, 4 Eu 2.95

=====

[2]
DFT (PBE) results for a geometry-optimized La3GaO structure.

Output
The calculation puts the uncorrected formation energy at -1297 meV/atom. The value obtained for the density of states at the Fermi level is 0.758 states/eV per atom.

Unit cell a=6.0804 b=6.6217 c=6.7026 alpha=85.67 beta=71.91 gamma=83.55
Last column: nearest neighbours and their distance in Å.
Fractional coordinates of all 10 atoms:
La (0.0000, 0.0000, 0.0000)  2 O 2.55-2.56
La (0.0073, 0.5242, 0.8038)  2 O 2.75-2.77
La (0.3608, 0.0686, 0.3733)  2 O 2.75-2.77
La (0.3685, 0.5932, 0.1763)  2 O 2.55-2.56
La (0.5434, 0.1797, 0.8089)  2 O 2.49
La (0.8250, 0.4120, 0.3688)  2 O 2.48-2.49
Ga (0.4868, 0.7185, 0.6946)  1 Ga 2.66
Ga (0.8814, 0.8737, 0.4817)  1 Ga 2.66
O (0.1840, 0.2968, 0.0884)  6 La 2.48-2.75
O (0.6838, 0.2967, 0.0890)  6 La 2.49-2.77

=====

[3]
DFT (PBE) results for a geometry-optimized CsLi3Ca4Cl12 structure.

Output
The calculation puts the uncorrected formation energy at -2155 meV/atom. The value obtained for the density of states at the Fermi level is 0.000 states/eV per atom.

Unit cell a=8.8170 b=8.8170 c=8.8170 alpha=109.47 beta=109.47 gamma=109.47
Last column: nearest neighbours and their distance in Å.
Fractional coordinates of all 20 atoms:
Cs (0.0000, 0.0000, 0.0000)  12 Cl 3.68
Li (0.0000, 0.5000, 0.5000)  4 Cl 2.54
Li (0.5000, 0.0000, 0.5000)  4 Cl 2.54
Li (0.5000, 0.5000, 0.0000)  4 Cl 2.54
Ca (0.0000, 0.0000, 0.5000)  6 Cl 2.76
Ca (0.0000, 0.5000, 0.0000)  6 Cl 2.76
Ca (0.5000, 0.0000, 0.0000)  6 Cl 2.76
Ca (0.5000, 0.5000, 0.5000)  6 Cl 2.76
Cl (0.1473, 0.8286, 0.3187)  1 Li 2.54, 2 Ca 2.76
Cl (0.1714, 0.3187, 0.4901)  1 Li 2.54, 2 Ca 2.76
Cl (0.1714, 0.6813, 0.8527)  1 Li 2.54, 2 Ca 2.76
Cl (0.3187, 0.1473, 0.8286)  1 Li 2.54, 2 Ca 2.76
Cl (0.3187, 0.4901, 0.1714)  1 Li 2.54, 2 Ca 2.76
Cl (0.4901, 0.1714, 0.3187)  1 Li 2.54, 2 Ca 2.76
Cl (0.5099, 0.8286, 0.6813)  1 Li 2.54, 2 Ca 2.76
Cl (0.6813, 0.5099, 0.8286)  1 Li 2.54, 2 Ca 2.76
Cl (0.6813, 0.8527, 0.1714)  1 Li 2.54, 2 Ca 2.76
Cl (0.8286, 0.3187, 0.1473)  1 Li 2.54, 2 Ca 2.76
Cl (0.8286, 0.6813, 0.5099)  1 Li 2.54, 2 Ca 2.76
Cl (0.8527, 0.1714, 0.6813)  1 Li 2.54, 2 Ca 2.76

=====

[4]
DFT (PBE) results for a geometry-optimized VAg2Hg structure.

Output
The formation energy is 0.59 eV/atom. The value obtained for the density of states at the Fermi level is 1.285 states/eV per atom.

Unit cell a=6.1058 b=6.1058 c=6.1058 alpha=102.31 beta=102.31 gamma=125.00
Last column: nearest neighbours and their distance in Å.
Fractional coordinates of all 8 atoms:
V (0.0000, 0.0000, 0.0000)  4 Ag 2.76, 2 Hg 2.82
V (0.7500, 0.2500, 0.5000)  4 Ag 2.76, 2 Hg 2.82
Ag (0.1181, 0.6250, 0.9931)  2 V 2.76, 2 Ag 2.82, 2 Hg 2.83
Ag (0.3750, 0.3681, 0.4931)  2 V 2.76, 2 Ag 2.82, 2 Hg 2.83
Ag (0.6319, 0.1250, 0.0069)  2 V 2.76, 2 Ag 2.82, 2 Hg 2.83
Ag (0.8750, 0.8819, 0.5069)  2 V 2.76, 2 Ag 2.82, 2 Hg 2.83
Hg (0.2500, 0.7500, 0.5000)  2 V 2.82, 4 Ag 2.83
Hg (0.5000, 0.5000, 0.0000)  2 V 2.82, 4 Ag 2.83

=====

[5]
DFT (PBE) results for a geometry-optimized Na4YZr3S8 structure.

Output
The calculation puts the uncorrected formation energy at -1558 meV/atom. The value obtained for the density of states at the Fermi level is 0.447 states/eV per atom.

Unit cell a=8.0633 b=8.0633 c=8.0633 alpha=55.60 beta=55.60 gamma=55.60
Last column: nearest neighbours and their distance in Å.
Fractional coordinates of all 16 atoms:
Na (0.0000, 0.0000, 0.0000)  6 S 2.81
Na (0.0000, 0.5000, 0.5000)  6 S 2.87-2.88
Na (0.5000, 0.0000, 0.5000)  6 S 2.87-2.88
Na (0.5000, 0.5000, 0.0000)  6 S 2.87-2.88
Y (0.5000, 0.5000, 0.5000)  6 S 2.72
Zr (0.0000, 0.0000, 0.5000)  6 S 2.64-2.65
Zr (0.0000, 0.5000, 0.0000)  6 S 2.64-2.65
Zr (0.5000, 0.0000, 0.0000)  6 S 2.64-2.65
S (0.2327, 0.7472, 0.7472)  2 Zr 2.64, 1 Y 2.72, 3 Na 2.81-2.88
S (0.2412, 0.2412, 0.2412)  3 Zr 2.65, 3 Na 2.87
S (0.2528, 0.2528, 0.7673)  2 Zr 2.64, 1 Y 2.72, 3 Na 2.81-2.88
S (0.2528, 0.7673, 0.2528)  2 Zr 2.64, 1 Y 2.72, 3 Na 2.81-2.88
S (0.7472, 0.2327, 0.7472)  2 Zr 2.64, 1 Y 2.72, 3 Na 2.81-2.88
S (0.7472, 0.7472, 0.2327)  2 Zr 2.64, 1 Y 2.72, 3 Na 2.81-2.88
S (0.7588, 0.7588, 0.7588)  3 Zr 2.65, 3 Na 2.87
S (0.7673, 0.2528, 0.2528)  2 Zr 2.64, 1 Y 2.72, 3 Na 2.81-2.88

=====

[6]
DFT (PBE) results for a geometry-optimized HfV2H4 structure.

Output
The value obtained for the density of states at the Fermi level is 0.590 states/eV per atom. Its energy relative to the lowest polymorph listed for this composition is 0.594 eV/atom.

Unit cell a=5.4916 b=5.4916 c=5.4916 alpha=140.25 beta=140.25 gamma=57.48
Last column: nearest neighbours and their distance in Å.
Fractional coordinates of all 7 atoms:
Hf (0.0000, 0.0000, 0.0000)  6 H 1.87-1.89
V (0.3724, 0.3724, 0.0000)  1 H 1.69
V (0.6276, 0.6276, 0.0000)  1 H 1.69
H (0.0000, 0.5000, 0.5000)  2 Hf 1.87
H (0.1964, 0.1964, 0.0000)  1 V 1.69, 1 Hf 1.89
H (0.5000, 0.0000, 0.5000)  2 Hf 1.87
H (0.8036, 0.8036, 0.0000)  1 V 1.69, 1 Hf 1.89

=====

Repeat the first record exactly.
DFT (PBE) results for a geometry-optimized LiEuSnRu structure.

Output
The formation energy is -0.19 eV/atom. The value obtained for the density of states at the Fermi level is 1.066 states/eV per atom.

Unit cell a=4.8102 b=4.8102 c=4.8102 alpha=60.00 beta=60.00 gamma=60.00
Last column: nearest neighbours and their distance in Å.
Fractional coordinates of all 4 atoms:
Li (0.0000, 0.0000, 0.0000)  4 Sn 2.95, 4 Eu 2.95
Eu (0.2500, 0.2500, 0.2500)  4 Li 2.95, 4 Ru 2.95
Sn (0.7500, 0.7500, 0.7500)  4 Li 2.95, 4 Ru 2.95
Ru (0.5000, 0.5000, 0.5000)  4 Sn 2.95, 4 Eu 2.95

=====

- What is the formula in the first record?
  LiEuSnRu

=====

- What is the formula in the fourth record?
  VAg2Hg